Record 1
First-principles (GGA-PBEsol) data for a relaxed structure of NaYTc2Ir, as listed in Alexandria.

Cell lengths 4.6877, 4.6877, 4.9022 Å; angles 90.00, 90.00, 90.00 degrees
Fractional positions:
Y: 0.5000 0.5000 0.5000
Na: 0.0000 0.0000 0.5000
Tc: 0.5000 0.0000 0.0000
Tc: 0.0000 0.5000 0.0000
Ir: 0.0000 0.0000 0.0000

space group: P4/mmm, No. 123
calculated formation energy: 1.014 eV/atom


Record 2
First-principles (GGA-PBEsol) data for a relaxed structure of NaTe2Ir, as listed in Alexandria.

Cell lengths 6.1323, 6.6600, 6.6600 Å; angles 77.76, 62.59, 62.59 degrees
Fractional positions:
Na: 0.5000 0.0000 0.0000
Na: 0.2500 0.5000 0.5000
Te: 0.8750 0.3985 0.1015
Te: 0.3750 0.6015 0.8985
Te: 0.0235 0.1015 0.6015
Te: 0.7265 0.8985 0.3985
Ir: 0.7500 0.5000 0.5000
Ir: 0.0000 0.0000 0.0000

space group: I-42d, No. 122
formation energy without anion corrections: -0.1931 eV/atom


Record 3
First-principles (GGA-PBEsol) data for a relaxed structure of NbIr3, as listed in Alexandria.

Cell lengths 3.8868, 3.8868, 3.8868 Å; angles 90.00, 90.00, 90.00 degrees
Fractional positions:
Nb: 0.0000 0.0000 0.0000
Ir: 0.5000 0.5000 0.0000
Ir: 0.5000 0.0000 0.5000
Ir: 0.0000 0.5000 0.5000

space group: Pm-3m, No. 221
calculated formation energy: -0.595 eV/atom


Record 4
First-principles (GGA-PBEsol) data for a relaxed structure of NbIr, as listed in Alexandria.

Cell lengths 2.8490, 2.8490, 3.8553 Å; angles 90.00, 90.00, 90.00 degrees
Fractional positions:
Ir: 0.5000 0.5000 0.5000
Nb: 0.0000 0.0000 0.0000

space group: P4/mmm, No. 123
calculated formation energy: -0.505 eV/atom


Record 5
First-principles (GGA-PBEsol) data for a relaxed structure of NbIr, as listed in Alexandria.

Cell lengths 2.8430, 4.8291, 13.6832 Å; angles 90.00, 90.00, 90.00 degrees
Fractional positions:
Ir: 0.5000 0.1720 0.0826
Ir: 0.5000 0.1720 0.4174
Ir: 0.5000 0.4684 0.7500
Ir: 0.5000 0.5316 0.2500
Ir: 0.5000 0.8280 0.9174
Ir: 0.5000 0.8280 0.5826
Nb: 0.0000 0.6692 0.0848
Nb: 0.0000 0.3308 0.9152
Nb: 0.0000 0.0393 0.2500
Nb: 0.0000 0.3308 0.5848
Nb: 0.0000 0.6692 0.4152
Nb: 0.0000 0.9607 0.7500

space group: Pmma, No. 51
calculated formation energy: -0.503 eV/atom


Record 6
First-principles (GGA-PBEsol) data for a relaxed structure of Nb5Ir7, as listed in Alexandria.

Cell lengths 2.8114, 4.8153, 13.6483 Å; angles 90.00, 90.00, 90.00 degrees
Fractional positions:
Ir: 0.0000 0.0207 0.5000
Ir: 0.5000 0.8288 0.8302
Ir: 0.5000 0.4677 0.0000
Ir: 0.5000 0.5069 0.5000
Ir: 0.5000 0.8288 0.1698
Ir: 0.5000 0.1750 0.3369
Ir: 0.5000 0.1750 0.6631
Nb: 0.0000 0.3321 0.8342
Nb: 0.0000 0.9589 0.0000
Nb: 0.0000 0.3321 0.1658
Nb: 0.0000 0.6870 0.6603
Nb: 0.0000 0.6870 0.3397

space group: Pmm2, No. 25
calculated formation energy: -0.453 eV/atom


Record 7
First-principles (GGA-PBEsol) data for a relaxed structure of NbIr3, as listed in Alexandria.

Cell lengths 4.4365, 5.5285, 5.5285 Å; angles 120.00, 90.00, 90.00 degrees
Fractional positions:
Ir: 0.2500 0.8362 0.6725
Ir: 0.7500 0.6725 0.8362
Ir: 0.7500 0.1638 0.3275
Ir: 0.2500 0.8362 0.1638
Ir: 0.7500 0.1638 0.8362
Ir: 0.2500 0.3275 0.1638
Nb: 0.2500 0.3333 0.6667
Nb: 0.7500 0.6667 0.3333

space group: P6_3/mmc, No. 194
calculated formation energy: -0.603 eV/atom


Record 8
First-principles (GGA-PBEsol) data for a relaxed structure of Nb2Ni2Ir, as listed in Alexandria.

Cell lengths 3.1386, 6.6710, 6.6710 Å; angles 90.00, 90.00, 90.00 degrees
Fractional positions:
Ni: 0.0000 0.8752 0.6248
Ni: 0.0000 0.3752 0.8752
Ni: 0.0000 0.1248 0.3752
Ni: 0.0000 0.6248 0.1248
Nb: 0.5000 0.8231 0.3231
Nb: 0.5000 0.3231 0.1769
Nb: 0.5000 0.1769 0.6769
Nb: 0.5000 0.6769 0.8231
Ir: 0.0000 0.0000 0.0000
Ir: 0.0000 0.5000 0.5000

space group: P4/mbm, No. 127
calculated formation energy: -0.342 eV/atom


Record 9
First-principles (GGA-PBEsol) data for a relaxed structure of NbIr2O, as listed in Alexandria.

Cell lengths 4.7215, 4.7215, 6.7988 Å; angles 110.32, 110.32, 90.00 degrees
Fractional positions:
O: 0.5000 0.5000 0.0000
O: 0.7500 0.2500 0.5000
Ir: 0.1250 0.2377 0.7500
Ir: 0.6250 0.5123 0.7500
Ir: 0.7623 0.3750 0.2500
Ir: 0.4877 0.8750 0.2500
Nb: 0.2500 0.7500 0.5000
Nb: 0.0000 0.0000 0.0000

space group: I-42d, No. 122
formation energy without anion corrections: 0.2793 eV/atom


Record 10
First-principles (GGA-PBEsol) data for a relaxed structure of Nb2IrOsRh, as listed in Alexandria.

Cell lengths 4.6177, 4.7220, 4.7220 Å; angles 90.00, 90.00, 90.00 degrees
Fractional positions:
Os: 0.5000 0.0000 0.0000
Ir: 0.0000 0.0000 0.0000
Nb: 0.0000 0.5000 0.0000
Nb: 0.0000 0.0000 0.5000
Rh: 0.5000 0.5000 0.5000

space group: P4/mmm, No. 123
calculated formation energy: 1.583 eV/atom


Record 11
First-principles (GGA-PBEsol) data for a relaxed structure of NbZnP2Ir, as listed in Alexandria.

Cell lengths 4.4004, 4.4004, 4.4600 Å; angles 90.00, 90.00, 90.00 degrees
Last column: magnetic moment on the atom in μB.
Fractional positions:
Nb: 0.5000 0.5000 0.5000  0.40
P: 0.0000 0.5000 0.0000  -0.01
P: 0.5000 0.0000 0.0000  -0.01
Zn: 0.0000 0.0000 0.0000  0.00
Ir: 0.0000 0.0000 0.5000  -0.03

space group: P4/mmm, No. 123
calculated formation energy: 1.142 eV/atom


Record 12
First-principles (GGA-PBEsol) data for a relaxed structure of NbIr3Pd, as listed in Alexandria.

Cell lengths 4.5868, 4.5868, 4.5868 Å; angles 90.00, 90.00, 90.00 degrees
Last column: magnetic moment on the atom in μB.
Fractional positions:
Ir: 0.5000 0.0000 0.0000  0.21
Ir: 0.0000 0.0000 0.5000  0.21
Ir: 0.0000 0.5000 0.0000  0.21
Nb: 0.5000 0.5000 0.5000  -0.28
Pd: 0.0000 0.0000 0.0000  0.22

space group: Pm-3m, No. 221
calculated formation energy: 2.090 eV/atom


Calculated size of the total moment, 0.00; 0.00; 0.00; 0.00; 0.00; 0.00; 0.00; 0.00; 0.00; 0.00; 0.40; 0.54 μB/cell (same order as the records).